Entry 1:
VASP calculation (PBE-GGA) on Tb2Pa3Se8 after structural relaxation.

POSCAR file:
```
Tb2Pa3Se8
1.0
7.218 0.000 0.000
0.000 4.100 0.000
-2.581 0.000 13.458
Tb Pa Se
2 3 8
Direct
0.242 0.000 0.248 Tb
0.758 0.000 0.752 Tb
0.257 0.500 0.752 Pa
0.500 0.000 0.000 Pa
0.743 0.500 0.248 Pa
0.108 0.500 0.359 Se
0.132 0.000 0.876 Se
0.361 0.500 0.120 Se
0.383 0.000 0.638 Se
0.617 0.000 0.362 Se
0.639 0.500 0.880 Se
0.868 0.000 0.124 Se
0.892 0.500 0.641 Se
```

Computed properties:
M_tot: 3.8 μB per formula unit
excess energy over the best structure of this formula in the dataset: 0 meV per atom
E_tot: -85.1 eV for the cell shown
formation energy without anion corrections: -1.49 eV per atom

***

Entry 2:
VASP calculation (PBE-GGA) on Nd6Ge2Te3P after structural relaxation.

POSCAR file:
```
Nd6Ge2Te3P
1.0
9.632 -2.175 0.000
9.632 2.175 0.000
-2.276 0.000 8.574
Nd Ge Te P
6 2 3 1
Direct
0.006 0.006 0.231 Nd
0.328 0.328 0.431 Nd
0.341 0.341 0.903 Nd
0.659 0.659 0.097 Nd
0.672 0.672 0.569 Nd
0.994 0.994 0.769 Nd
0.166 0.166 0.332 Ge
0.834 0.834 0.668 Ge
0.167 0.167 0.834 Te
0.500 0.500 0.500 Te
0.833 0.833 0.166 Te
0.500 0.500 0.000 P
```

Computed properties:
M_tot: 0.0 μB per formula unit
E_tot: -68.8 eV for the cell shown
formation energy without anion corrections: -1.34 eV per atom

***

Entry 3:
VASP calculation (PBE-GGA) on RuAuCl2 after structural relaxation.

POSCAR file:
```
RuAuCl2
1.0
2.865 0.000 0.000
0.000 3.000 0.000
-0.373 0.000 10.624
Ru Au Cl
1 1 2
Direct
0.000 0.000 0.000 Ru
0.500 0.000 0.500 Au
0.022 0.500 0.167 Cl
0.978 0.500 0.833 Cl
```

Computed properties:
M_tot: 0.0 μB per formula unit
excess energy over the best structure of this formula in the dataset: 123 meV per atom
E_tot: -15.6 eV for the cell shown
formation energy without anion corrections: 0.17 eV per atom

***

Entry 4:
VASP calculation (PBE-GGA) on Ag2HgP2 after structural relaxation.

POSCAR file:
```
Ag2HgP2
1.0
3.323 0.000 0.000
0.000 3.323 0.000
0.000 0.000 17.116
Ag Hg P
4 2 4
Direct
0.000 0.000 0.108 Ag
0.000 0.000 0.892 Ag
0.500 0.500 0.392 Ag
0.500 0.500 0.608 Ag
0.000 0.000 0.500 Hg
0.500 0.500 0.000 Hg
0.000 0.500 0.250 P
0.000 0.500 0.750 P
0.500 0.000 0.250 P
0.500 0.000 0.750 P
```

Computed properties:
M_tot: 0.0 μB per formula unit
excess energy over the best structure of this formula in the dataset: 195 meV per atom
E_tot: -30.8 eV for the cell shown
formation energy: 281 meV/atom

***

Entry 5:
VASP calculation (PBE-GGA) on RbCuGe3 after structural relaxation.

POSCAR file:
```
RbCuGe3
1.0
4.957 0.000 0.000
0.000 4.957 0.000
0.000 0.000 4.957
Rb Cu Ge
1 1 3
Direct
0.000 0.000 0.000 Rb
0.500 0.500 0.500 Cu
0.000 0.500 0.500 Ge
0.500 0.000 0.500 Ge
0.500 0.500 0.000 Ge
```

Computed properties:
M_tot: 0.0 μB per formula unit
excess energy over the best structure of this formula in the dataset: 0 meV per atom
E_tot: -17.0 eV for the cell shown
formation energy: 388 meV/atom

***

Entry 6:
VASP calculation (PBE-GGA) on Mg2CuAu6 after structural relaxation.

POSCAR file:
```
Mg2CuAu6
1.0
-2.021 3.801 5.858
2.021 -3.801 5.858
2.021 3.801 -5.858
Mg Cu Au
2 1 6
Direct
0.151 0.151 0.000 Mg
0.849 0.849 0.000 Mg
0.500 0.500 0.000 Cu
0.093 0.333 0.760 Au
0.279 0.000 0.279 Au
0.427 0.667 0.760 Au
0.573 0.333 0.240 Au
0.721 0.000 0.721 Au
0.907 0.667 0.240 Au
```

Computed properties:
M_tot: 0.0 μB per formula unit
excess energy over the best structure of this formula in the dataset: 120 meV per atom
E_tot: -28.9 eV for the cell shown
formation energy: -218 meV/atom